Record 1
A plane-wave DFT calculation with GGA-PBE was carried out for crystalline ErIn2Au2 at its relaxed geometry.

Unit cell a=4.9302 b=4.8818 c=9.8122 alpha=90.00 beta=90.05 gamma=90.00
Space group P2_1/m (No. 11)
One atom of each set of equivalent atoms:
Er (0.2478, 0.2500, 0.3262) (multiplicity 2)
In (0.2507, 0.2500, 0.6732) (multiplicity 2)
In (0.2517, 0.2500, 0.9922) (multiplicity 2)
Au (0.2482, 0.7500, 0.1581) (multiplicity 2)
Au (0.2520, 0.7500, 0.5155) (multiplicity 2)

Its density of states at the Fermi level is 1.242 states/eV/f.u. The calculation puts the volume at 118.1 Å³/f.u. The total energy comes out at -3.854 eV/atom. The calculation puts the formation energy at -0.54 eV/atom.


Record 2
A plane-wave DFT calculation with GGA-PBE was carried out for crystalline Er3In4Au2 at its relaxed geometry.

Unit cell a=11.0531 b=4.7973 c=9.0509 alpha=90.00 beta=116.71 gamma=90.00
Space group C2/m (No. 12)
One atom of each set of equivalent atoms:
Er (0.0000, 0.0000, 0.0000) (multiplicity 2)
Er (0.1749, 0.5000, 0.6511) (multiplicity 4)
In (0.0323, 0.0000, 0.3647) (multiplicity 4)
In (0.2344, 0.5000, 0.0760) (multiplicity 4)
Au (0.1039, 0.5000, 0.2743) (multiplicity 4)

Its density of states at the Fermi level is 4.520 states/eV/f.u. The calculation puts the volume at 214.4 Å³/f.u. The total energy comes out at -4.022 eV/atom. The calculation puts the formation energy at -0.56 eV/atom.


Record 3
A plane-wave DFT calculation with GGA-PBE was carried out for crystalline Er4In5Au2 at its relaxed geometry.

Unit cell a=7.7724 b=3.6091 c=9.7678 alpha=90.00 beta=94.66 gamma=90.00
Space group P2/m (No. 10)
One atom of each set of equivalent atoms:
Er (0.1879, 0.0000, 0.3650) (multiplicity 2)
Er (0.2316, 0.0000, 0.9362) (multiplicity 2)
In (0.1666, 0.5000, 0.6446) (multiplicity 2)
In (0.4608, 0.5000, 0.1796) (multiplicity 2)
In (0.5000, 0.5000, 0.5000) (multiplicity 1)
Au (0.0747, 0.5000, 0.1386) (multiplicity 2)

Its density of states at the Fermi level is 6.828 states/eV/f.u. The calculation puts the volume at 273.1 Å³/f.u. The total energy comes out at -4.063 eV/atom. The calculation puts the formation energy at -0.56 eV/atom.


Record 4
A plane-wave DFT calculation with GGA-PBE was carried out for crystalline Er7In2Au2 at its relaxed geometry.

Unit cell a=8.2097 b=11.0937 c=7.1043 alpha=90.00 beta=90.00 gamma=90.00
Space group Cmmm (No. 65)
One atom of each set of equivalent atoms:
Er (0.0000, 0.0000, 0.0000) (multiplicity 2)
Er (0.0000, 0.5000, 0.2507) (multiplicity 4)
Er (0.2500, 0.2500, 0.2611) (multiplicity 8)
In (0.1753, 0.0000, 0.5000) (multiplicity 4)
Au (0.0000, 0.2912, 0.0000) (multiplicity 4)

Its density of states at the Fermi level is 10.707 states/eV/f.u. The calculation puts the volume at 323.5 Å³/f.u. The total energy comes out at -4.303 eV/atom. The calculation puts the formation energy at -0.31 eV/atom.


Record 5
A plane-wave DFT calculation with GGA-PBE was carried out for crystalline Er3In2Au3 at its relaxed geometry.

Unit cell a=3.6060 b=5.0879 c=20.3034 alpha=90.00 beta=90.00 gamma=90.00
Space group Immm (No. 71)
One atom of each set of equivalent atoms:
Er (0.0000, 0.0000, 0.0000) (multiplicity 2)
Er (0.0000, 0.5000, 0.1257) (multiplicity 4)
In (0.0000, 0.0000, 0.2364) (multiplicity 4)
Au (0.0000, 0.0000, 0.5000) (multiplicity 2)
Au (0.0000, 0.5000, 0.3840) (multiplicity 4)

Its density of states at the Fermi level is 6.165 states/eV/f.u. The calculation puts the volume at 186.3 Å³/f.u. The total energy comes out at -4.271 eV/atom. The calculation puts the formation energy at -0.65 eV/atom.


Record 6
A plane-wave DFT calculation with GGA-PBE was carried out for crystalline ErIn3Au2 at its relaxed geometry.

Unit cell a=4.3978 b=8.4848 c=7.4066 alpha=90.00 beta=90.00 gamma=90.00
Space group Pmc2_1 (No. 26)
One atom of each set of equivalent atoms:
Er (0.0000, 0.0756, 0.0000) (multiplicity 2)
In (0.0000, 0.3082, 0.6180) (multiplicity 2)
In (0.5000, 0.1993, 0.3329) (multiplicity 2)
In (0.5000, 0.4059, 0.9388) (multiplicity 2)
Au (0.0000, 0.3799, 0.2190) (multiplicity 2)
Au (0.5000, 0.1113, 0.7160) (multiplicity 2)

Its density of states at the Fermi level is 2.692 states/eV/f.u. The calculation puts the volume at 138.2 Å³/f.u. The total energy comes out at -3.644 eV/atom. The calculation puts the formation energy at -0.42 eV/atom.


Record 7
A plane-wave DFT calculation with GGA-PBE was carried out for crystalline Er12InAu6 at its relaxed geometry.

Unit cell a=10.0245 b=10.0245 c=10.0245 alpha=90.00 beta=90.00 gamma=90.00
Space group Im-3 (No. 204)
One atom of each set of equivalent atoms:
Er (0.0000, 0.2905, 0.1838) (multiplicity 24)
In (0.0000, 0.0000, 0.0000) (multiplicity 2)
Au (0.0000, 0.1389, 0.5000) (multiplicity 12)

As for the polymorph energy (0 for the lowest one): 0.0 kJ/mol of atoms. Its density of states at the Fermi level is 8.417 states/eV/f.u. The calculation puts the volume at 503.7 Å³/f.u. The total energy comes out at -4.632 eV/atom. The calculation puts the formation energy at -0.57 eV/atom.


Record 8
A plane-wave DFT calculation with GGA-PBE was carried out for crystalline Er12InAu6 at its relaxed geometry.

Unit cell a=13.2151 b=13.2151 c=11.3433 alpha=90.00 beta=90.00 gamma=120.00
Space group R-3 (No. 148, hexagonal axes)
One atom of each set of equivalent atoms:
Er (0.0355, 0.2138, 0.3907) (multiplicity 18)
Er (0.0404, 0.2261, 0.8967) (multiplicity 18)
In (0.0000, 0.0000, 0.0000) (multiplicity 3)
Au (0.0451, 0.2567, 0.6486) (multiplicity 18)

As for the polymorph energy (0 for the lowest one): 16.9 kJ/mol of atoms. Its density of states at the Fermi level is 19.948 states/eV/f.u. The calculation puts the volume at 571.9 Å³/f.u. The total energy comes out at -4.456 eV/atom. The calculation puts the formation energy at -0.40 eV/atom.


Record 9
A plane-wave DFT calculation with GGA-PBE was carried out for crystalline Er8In2Au at its relaxed geometry.

Unit cell a=18.6175 b=5.0868 c=6.6953 alpha=90.00 beta=101.67 gamma=90.00
Space group C2/m (No. 12)
One atom of each set of equivalent atoms:
Er (0.0175, 0.0000, 0.2680) (multiplicity 4)
Er (0.0924, 0.5000, 0.9634) (multiplicity 4)
Er (0.1514, 0.5000, 0.4826) (multiplicity 4)
Er (0.2082, 0.0000, 0.8079) (multiplicity 4)
In (0.1867, 0.0000, 0.2540) (multiplicity 4)
Au (0.0000, 0.5000, 0.5000) (multiplicity 2)

Its density of states at the Fermi level is 10.133 states/eV/f.u. The calculation puts the volume at 310.5 Å³/f.u. The total energy comes out at -4.409 eV/atom. The calculation puts the formation energy at -0.29 eV/atom.


Record 10
A plane-wave DFT calculation with GGA-PBE was carried out for crystalline Er2In5Au at its relaxed geometry.

Unit cell a=6.4191 b=12.8142 c=4.5746 alpha=90.00 beta=90.00 gamma=90.00
Space group Pbam (No. 55)
One atom of each set of equivalent atoms:
Er (0.2400, 0.1271, 0.0000) (multiplicity 4)
In (0.0000, 0.0000, 0.5000) (multiplicity 2)
In (0.0029, 0.7427, 0.5000) (multiplicity 4)
In (0.2353, 0.3808, 0.0000) (multiplicity 4)
Au (0.0000, 0.5000, 0.5000) (multiplicity 2)

Its density of states at the Fermi level is 2.617 states/eV/f.u. The calculation puts the volume at 188.1 Å³/f.u. The total energy comes out at -3.694 eV/atom. The calculation puts the formation energy at -0.43 eV/atom.


Record 11
A plane-wave DFT calculation with GGA-PBE was carried out for crystalline Er8InAu2 at its relaxed geometry.

Unit cell a=8.7273 b=13.8871 c=5.3863 alpha=90.00 beta=107.68 gamma=90.00
Space group C2/m (No. 12)
One atom of each set of equivalent atoms:
Er (0.0000, 0.2335, 0.0000) (multiplicity 4)
Er (0.1053, 0.5000, 0.8033) (multiplicity 4)
Er (0.2085, 0.1204, 0.5926) (multiplicity 8)
In (0.0000, 0.0000, 0.0000) (multiplicity 2)
Au (0.0000, 0.3043, 0.5000) (multiplicity 4)

Its density of states at the Fermi level is 14.571 states/eV/f.u. The calculation puts the volume at 311.0 Å³/f.u. The total energy comes out at -4.480 eV/atom. The calculation puts the formation energy at -0.32 eV/atom.


Which formula does entry 9 have? Er8In2Au